No. 1
# PBE-GGA Li2CePmCl8, relaxed
data_Li2CePmCl8
_cell_length_a 6.3430
_cell_length_b 6.3111
_cell_length_c 8.3263
_cell_angle_alpha 90.05
_cell_angle_beta 90.06
_cell_angle_gamma 92.52
_symmetry_space_group_name_H-M 'P 1'
_symmetry_Int_Tables_number 1
loop_
_symmetry_equiv_pos_as_xyz
'x,y,z'
loop_
_atom_site_label
_atom_site_type_symbol
_atom_site_fract_x
_atom_site_fract_y
_atom_site_fract_z
_atom_site_occupancy
Li1 Li 0.5006 0.5006 0.2441 1
Li2 Li 0.4994 0.4994 0.7559 1
Cl1 Cl 0.8050 0.2068 0.7541 1
Cl2 Cl 0.1950 0.7932 0.2459 1
Cl3 Cl 0.6863 0.6972 0.9998 1
Cl4 Cl 0.1948 0.7931 0.7541 1
Cl5 Cl 0.3137 0.3028 0.0002 1
Cl6 Cl 0.8052 0.2069 0.2459 1
Cl7 Cl 0.3149 0.3047 0.5005 1
Cl8 Cl 0.6851 0.6953 0.4995 1
Pm1 Pm 0.0000 0.0000 0.0000 1
Ce1 Ce 0.0000 0.0000 0.5000 1
# ρ: 2.91 g/cm³
# formation energy from raw total energies: -2.054 eV/atom


No. 2
# PBE-GGA Pm2SmEr, relaxed
data_Pm2SmEr
_cell_length_a 4.2246
_cell_length_b 4.2246
_cell_length_c 7.4803
_cell_angle_alpha 90.00
_cell_angle_beta 90.00
_cell_angle_gamma 90.00
_symmetry_space_group_name_H-M 'P 1'
_symmetry_Int_Tables_number 1
loop_
_symmetry_equiv_pos_as_xyz
'x,y,z'
loop_
_atom_site_label
_atom_site_type_symbol
_atom_site_fract_x
_atom_site_fract_y
_atom_site_fract_z
_atom_site_occupancy
Er1 Er 0.5000 0.5000 0.0000 1
Pm1 Pm 0.0000 0.0000 0.7568 1
Pm2 Pm 0.0000 0.0000 0.2432 1
Sm1 Sm 0.5000 0.5000 0.5000 1
# distance to the lowest polymorph of the same formula: 0.097 eV per atom
# energy relative to the elements: 0.11 eV per atom
# ρ: 7.56 g/cm³


No. 3
# PBE-GGA ZnHgBi3, relaxed
data_ZnHgBi3
_cell_length_a 5.7656
_cell_length_b 5.7656
_cell_length_c 5.7656
_cell_angle_alpha 90.00
_cell_angle_beta 90.00
_cell_angle_gamma 90.00
_symmetry_space_group_name_H-M 'P 1'
_symmetry_Int_Tables_number 1
loop_
_symmetry_equiv_pos_as_xyz
'x,y,z'
loop_
_atom_site_label
_atom_site_type_symbol
_atom_site_fract_x
_atom_site_fract_y
_atom_site_fract_z
_atom_site_occupancy
Zn1 Zn 0.5000 0.5000 0.5000 1
Bi1 Bi 0.0000 0.0000 0.5000 1
Bi2 Bi 0.5000 0.0000 0.0000 1
Bi3 Bi 0.0000 0.5000 0.0000 1
Hg1 Hg 0.0000 0.0000 0.0000 1
# distance to the lowest polymorph of the same formula: 0.343 eV per atom
# energy relative to the elements: 0.80 eV per atom
# ρ: 7.74 g/cm³


No. 4
# PBE-GGA MnIn2Co, relaxed
data_MnIn2Co
_cell_length_a 4.7231
_cell_length_b 4.7231
_cell_length_c 5.1083
_cell_angle_alpha 78.29
_cell_angle_beta 78.29
_cell_angle_gamma 39.01
_symmetry_space_group_name_H-M 'P 1'
_symmetry_Int_Tables_number 1
loop_
_symmetry_equiv_pos_as_xyz
'x,y,z'
loop_
_atom_site_label
_atom_site_type_symbol
_atom_site_fract_x
_atom_site_fract_y
_atom_site_fract_z
_atom_site_occupancy
Co1 Co 0.2500 0.2500 0.2500 1
In1 In 0.9912 0.9912 0.0116 1
In2 In 0.5088 0.5088 0.4884 1
Mn1 Mn 0.7500 0.7500 0.7500 1
# energy relative to the elements: 0.31 eV per atom
# ρ: 8.14 g/cm³


No. 5
# PBE-GGA IrPbW2, relaxed
data_IrPbW2
_cell_length_a 3.1516
_cell_length_b 3.1516
_cell_length_c 7.4293
_cell_angle_alpha 90.00
_cell_angle_beta 90.00
_cell_angle_gamma 90.00
_symmetry_space_group_name_H-M 'P 1'
_symmetry_Int_Tables_number 1
loop_
_symmetry_equiv_pos_as_xyz
'x,y,z'
loop_
_atom_site_label
_atom_site_type_symbol
_atom_site_fract_x
_atom_site_fract_y
_atom_site_fract_z
_atom_site_occupancy
Pb1 Pb 0.5000 0.5000 0.7457 1
W1 W 0.5000 0.5000 0.2488 1
W2 W 0.0000 0.0000 0.0458 1
Ir1 Ir 0.0000 0.0000 0.4597 1
# energy relative to the elements: 0.54 eV per atom
# ρ: 17.26 g/cm³


No. 6
# PBE-GGA Sc2GeCl, relaxed
data_Sc2GeCl
_cell_length_a 5.8284
_cell_length_b 5.8284
_cell_length_c 7.5307
_cell_angle_alpha 67.23
_cell_angle_beta 67.23
_cell_angle_gamma 90.00
_symmetry_space_group_name_H-M 'P 1'
_symmetry_Int_Tables_number 1
loop_
_symmetry_equiv_pos_as_xyz
'x,y,z'
loop_
_atom_site_label
_atom_site_type_symbol
_atom_site_fract_x
_atom_site_fract_y
_atom_site_fract_z
_atom_site_occupancy
Sc1 Sc 0.1208 0.6250 0.2500 1
Sc2 Sc 0.8750 0.8792 0.7500 1
Sc3 Sc 0.6292 0.1250 0.2500 1
Sc4 Sc 0.3750 0.3708 0.7500 1
Ge1 Ge 0.0000 0.0000 0.0000 1
Ge2 Ge 0.7500 0.2500 0.5000 1
Cl1 Cl 0.2500 0.7500 0.5000 1
Cl2 Cl 0.5000 0.5000 0.0000 1
# distance to the lowest polymorph of the same formula: 0.386 eV per atom
# ρ: 3.07 g/cm³
# formation energy from raw total energies: -0.606 eV/atom


Sequential magnetization output: 0.08, 0.00, 0.00, 1.14, 0.00, 0.00 μB/atom